No. 1
A plane-wave DFT calculation with PBE was carried out for crystalline Pm3Mg9Ag2 at its relaxed geometry.

Lattice parameters (Å, degrees): 8.751 8.751 8.751 147.12 100.04 89.19
Element x y z (fractional)
Pm: 0.000 0.000 0.000
Pm: 0.288 0.288 0.000
Pm: 0.712 0.712 0.000
Mg: 0.000 0.366 0.633
Mg: 0.000 0.634 0.367
Mg: 0.142 0.864 0.278
Mg: 0.267 0.634 0.633
Mg: 0.414 0.136 0.278
Mg: 0.500 0.000 0.500
Mg: 0.586 0.864 0.722
Mg: 0.733 0.366 0.367
Mg: 0.858 0.136 0.722
Ag: 0.341 0.500 0.841
Ag: 0.659 0.500 0.159

Results
Fermi-level density of states = 12.975 states/eV per cell
Calculated density = 4.16 g/cm3
Crystal system = orthorhombic
V = 24.8 Å³/atom
Calculated total energy = -0.18726 Ry per atom
Size of the total moment = 0.000 μB per atom

***

No. 2
A plane-wave DFT calculation with PBE was carried out for crystalline PmMg3Ag at its relaxed geometry.

Lattice parameters (Å, degrees): 7.310 4.403 7.948 90.00 105.74 90.00
Element x y z (fractional)
Pm: 0.000 0.000 0.000
Pm: 0.367 0.500 0.321
Mg: 0.100 0.000 0.508
Mg: 0.266 0.500 0.811
Mg: 0.512 0.000 0.058
Mg: 0.529 0.000 0.680
Mg: 0.837 0.500 0.642
Mg: 0.856 0.500 0.263
Ag: 0.665 0.500 0.910
Ag: 0.701 0.000 0.412

Results
Fermi-level density of states = 7.746 states/eV per cell
Calculated density = 4.39 g/cm3
Crystal system = monoclinic
V = 24.6 Å³/atom
Calculated total energy = -0.19258 Ry per atom
Size of the total moment = 0.000 μB per atom

***

No. 3
A plane-wave DFT calculation with PBE was carried out for crystalline PmMg3Ag4 at its relaxed geometry.

Lattice parameters (Å, degrees): 8.855 8.855 8.855 31.38 31.38 31.38
Element x y z (fractional)
Pm: 0.000 0.000 0.000
Mg: 0.245 0.245 0.245
Mg: 0.500 0.500 0.500
Mg: 0.755 0.755 0.755
Ag: 0.128 0.128 0.128
Ag: 0.391 0.391 0.391
Ag: 0.609 0.609 0.609
Ag: 0.872 0.872 0.872

Results
Fermi-level density of states = 3.546 states/eV per cell
Calculated density = 6.45 g/cm3
Crystal system = trigonal
V = 20.9 Å³/atom
Calculated total energy = -0.20926 Ry per atom
Size of the total moment = 0.000 μB per atom

***

No. 4
A plane-wave DFT calculation with PBE was carried out for crystalline Pm4Mg3Ag2 at its relaxed geometry.

Lattice parameters (Å, degrees): 5.293 5.293 10.004 90.00 90.00 59.98
Element x y z (fractional)
Pm: 0.000 0.000 0.167
Pm: 0.000 0.000 0.833
Pm: 0.333 0.333 0.373
Pm: 0.667 0.667 0.627
Mg: 0.000 0.000 0.500
Mg: 0.333 0.333 0.988
Mg: 0.667 0.667 0.012
Ag: 0.334 0.334 0.683
Ag: 0.666 0.666 0.317

Results
Fermi-level density of states = 7.566 states/eV per cell
Calculated density = 5.94 g/cm3
Crystal system = monoclinic
V = 27.0 Å³/atom
Calculated total energy = -0.25192 Ry per atom
Size of the total moment = 0.000 μB per atom

***

No. 5
A plane-wave DFT calculation with PBE was carried out for crystalline PmMg2Ag at its relaxed geometry.

Lattice parameters (Å, degrees): 3.429 3.429 8.059 90.00 90.00 90.00
Element x y z (fractional)
Pm: 0.000 0.000 0.000
Mg: 0.500 0.500 0.302
Mg: 0.500 0.500 0.698
Ag: 0.000 0.000 0.500

Results
Fermi-level density of states = 4.339 states/eV per cell
Calculated density = 5.28 g/cm3
Crystal system = tetragonal
V = 23.7 Å³/atom
Calculated total energy = -0.20809 Ry per atom
Size of the total moment = 0.040 μB per atom

***

No. 6
A plane-wave DFT calculation with PBE was carried out for crystalline PmMg3Ag3 at its relaxed geometry.

Lattice parameters (Å, degrees): 8.366 8.366 4.999 90.00 90.00 120.00
Element x y z (fractional)
Pm: 0.333 0.667 0.250
Pm: 0.667 0.333 0.750
Mg: 0.009 0.774 0.750
Mg: 0.226 0.234 0.750
Mg: 0.234 0.009 0.250
Mg: 0.766 0.991 0.750
Mg: 0.774 0.766 0.250
Mg: 0.991 0.226 0.250
Ag: 0.079 0.466 0.750
Ag: 0.387 0.921 0.750
Ag: 0.466 0.387 0.250
Ag: 0.534 0.613 0.750
Ag: 0.613 0.079 0.250
Ag: 0.921 0.534 0.250

Results
Fermi-level density of states = 9.260 states/eV per cell
Calculated density = 5.93 g/cm3
Crystal system = hexagonal
V = 21.6 Å³/atom
Calculated total energy = -0.20436 Ry per atom
Size of the total moment = 0.000 μB per atom

***

No. 7
A plane-wave DFT calculation with PBE was carried out for crystalline PmMgAg at its relaxed geometry.

Lattice parameters (Å, degrees): 14.692 14.692 3.578 90.00 90.00 166.97
Element x y z (fractional)
Pm: 0.158 0.842 0.750
Pm: 0.842 0.158 0.250
Mg: 0.044 0.956 0.750
Mg: 0.956 0.044 0.250
Ag: 0.276 0.724 0.750
Ag: 0.724 0.276 0.250

Results
Fermi-level density of states = 4.009 states/eV per cell
Calculated density = 5.29 g/cm3
Crystal system = orthorhombic
V = 29.0 Å³/atom
Calculated total energy = -0.21399 Ry per atom
Size of the total moment = 0.000 μB per atom

***

No. 8
A plane-wave DFT calculation with PBE was carried out for crystalline Pm4MgAg7 at its relaxed geometry.

Lattice parameters (Å, degrees): 6.072 6.072 11.253 114.25 114.25 53.38
Element x y z (fractional)
Pm: 0.064 0.064 0.361
Pm: 0.313 0.313 0.213
Pm: 0.687 0.687 0.787
Pm: 0.936 0.936 0.639
Mg: 0.500 0.500 0.000
Ag: 0.000 0.000 0.000
Ag: 0.207 0.207 0.915
Ag: 0.264 0.264 0.686
Ag: 0.377 0.377 0.505
Ag: 0.623 0.623 0.495
Ag: 0.736 0.736 0.314
Ag: 0.793 0.793 0.085

Results
Fermi-level density of states = 8.157 states/eV per cell
Calculated density = 7.63 g/cm3
Crystal system = monoclinic
V = 24.6 Å³/atom
Calculated total energy = -0.25649 Ry per atom
Size of the total moment = 0.000 μB per atom

***

No. 9
A plane-wave DFT calculation with PBE was carried out for crystalline PmMg3Ag at its relaxed geometry.

Lattice parameters (Å, degrees): 9.276 4.379 12.113 90.00 90.00 90.00
Element x y z (fractional)
Pm: 0.167 0.250 0.007
Pm: 0.333 0.750 0.507
Pm: 0.667 0.250 0.493
Pm: 0.833 0.750 0.993
Mg: 0.054 0.250 0.415
Mg: 0.098 0.750 0.226
Mg: 0.148 0.750 0.790
Mg: 0.352 0.250 0.290
Mg: 0.402 0.250 0.726
Mg: 0.446 0.750 0.915
Mg: 0.554 0.250 0.085
Mg: 0.598 0.750 0.274
Mg: 0.648 0.750 0.710
Mg: 0.852 0.250 0.210
Mg: 0.902 0.250 0.774
Mg: 0.946 0.750 0.585
Ag: 0.136 0.250 0.633
Ag: 0.364 0.750 0.133
Ag: 0.636 0.250 0.867
Ag: 0.864 0.750 0.367

Results
Fermi-level density of states = 16.823 states/eV per cell
Calculated density = 4.40 g/cm3
Crystal system = orthorhombic
V = 24.6 Å³/atom
Calculated total energy = -0.19249 Ry per atom
Size of the total moment = 0.000 μB per atom

***

No. 10
A plane-wave DFT calculation with PBE was carried out for crystalline PmMg12Ag6 at its relaxed geometry.

Lattice parameters (Å, degrees): 7.855 7.855 7.855 105.19 105.19 105.19
Element x y z (fractional)
Pm: 0.000 0.000 0.000
Mg: 0.117 0.500 0.883
Mg: 0.117 0.883 0.500
Mg: 0.154 0.410 0.410
Mg: 0.410 0.154 0.410
Mg: 0.410 0.410 0.154
Mg: 0.500 0.117 0.883
Mg: 0.500 0.883 0.117
Mg: 0.590 0.590 0.846
Mg: 0.590 0.846 0.590
Mg: 0.846 0.590 0.590
Mg: 0.883 0.117 0.500
Mg: 0.883 0.500 0.117
Ag: 0.269 0.269 0.707
Ag: 0.269 0.707 0.269
Ag: 0.293 0.731 0.731
Ag: 0.707 0.269 0.269
Ag: 0.731 0.293 0.731
Ag: 0.731 0.731 0.293

Results
Fermi-level density of states = 4.825 states/eV per cell
Calculated density = 4.27 g/cm3
Crystal system = trigonal
V = 22.2 Å³/atom
Calculated total energy = -0.16546 Ry per atom
Size of the total moment = 0.000 μB per atom

***

Q: Which of these has the lowest calculated density?
A: Pm3Mg9Ag2

***

Q: Among the records above, which one has the highest calculated total energy?
A: PmMg12Ag6

***

Please write out number 3 again, unchanged.
A plane-wave DFT calculation with PBE was carried out for crystalline PmMg3Ag4 at its relaxed geometry.

Lattice parameters (Å, degrees): 8.855 8.855 8.855 31.38 31.38 31.38
Element x y z (fractional)
Pm: 0.000 0.000 0.000
Mg: 0.245 0.245 0.245
Mg: 0.500 0.500 0.500
Mg: 0.755 0.755 0.755
Ag: 0.128 0.128 0.128
Ag: 0.391 0.391 0.391
Ag: 0.609 0.609 0.609
Ag: 0.872 0.872 0.872

Results
Fermi-level density of states = 3.546 states/eV per cell
Calculated density = 6.45 g/cm3
Crystal system = trigonal
V = 20.9 Å³/atom
Calculated total energy = -0.20926 Ry per atom
Size of the total moment = 0.000 μB per atom

***

Q: The lowest calculated total energy belongs to which entry?
A: Pm4MgAg7